Record 1
A geometry-optimized Cd2CuAg2 structure. Source: Alexandria via LeMat-Bulk, functional PBE-GGA.

a = 3.7812 Å, b = 3.7812 Å, c = 14.5286 Å
α = 90.00°, β = 90.00°, γ = 90.00°
Last column: nearest neighbours and their distance in Å.
Space group I4/mmm (No. 139)
Asymmetric unit:
Cd1 0.0000 0.0000 0.0953  1 Cd 2.77, 4 Ag 2.94, 4 Cu 3.01
Cu1 0.0000 0.0000 0.5000  8 Cd 3.01
Ag1 0.0000 0.5000 0.2500  4 Ag 2.67, 4 Cd 2.94

Values from the calculation:
Raw total energy in eV per atom: -2.08
Crystal system: tetragonal
Energy above the most stable polymorph in this dataset in meV/atom: 109.0
Theoretical density in g/cm³: 8.06
Total moment in μB per formula unit: 0.0

---

Record 2
A geometry-optimized K2Zn2Sn structure. Source: Alexandria via LeMat-Bulk, functional PBE-GGA.

a = 7.2714 Å, b = 7.2714 Å, c = 5.6907 Å
α = 90.00°, β = 90.00°, γ = 90.00°
Last column: nearest neighbours and their distance in Å.
Space group P4/mbm (No. 127)
Asymmetric unit:
K1 0.1866 0.3134 0.0000  6 Zn 3.44-3.67, 5 K 3.75-3.84
Zn1 0.1258 0.6258 0.5000  1 Zn 2.59, 2 Sn 2.87
Sn1 0.0000 0.0000 0.5000  4 Zn 2.87

Values from the calculation:
Raw total energy in eV per atom: -1.76
Crystal system: tetragonal
Energy above the most stable polymorph in this dataset in meV/atom: 0.0
Theoretical density in g/cm³: 3.62
Total moment in μB per formula unit: 0.0

---

Record 3
A geometry-optimized PmSc3Fe8 structure. Source: Alexandria via LeMat-Bulk, functional PBE-GGA.

a = 4.9909 Å, b = 4.9909 Å, c = 24.5859 Å
α = 90.00°, β = 90.00°, γ = 120.00°
Last column: nearest neighbours and their distance in Å.
Space group R3m (No. 160, hexagonal axes)
Asymmetric unit:
Pm1 0.0000 0.0000 0.0000  12 Fe 2.93-3.00, 4 Sc 3.09-3.11
Sc1 0.0000 0.0000 0.3783  12 Fe 2.92-3.07, 1 Sc 3.00, 3 Pm 3.09
Sc2 0.0000 0.0000 0.5006  12 Fe 2.87-2.92, 4 Sc 3.00-3.04
Sc3 0.0000 0.0000 0.8734  12 Fe 2.84-2.92, 3 Sc 3.04, 1 Pm 3.11
Fe1 0.0000 0.0000 0.1872  6 Fe 2.45-2.47
Fe2 0.0000 0.0000 0.6891  6 Fe 2.52-2.58
Fe3 0.0027 0.5013 0.4403  6 Fe 2.45-2.52
Fe4 0.1676 0.3352 0.2684  6 Fe 2.47-2.58

Values from the calculation:
Raw total energy in eV per atom: -7.79
Crystal system: trigonal
Theoretical density in g/cm³: 6.83
Total moment in μB per formula unit: 12.2

---

Record 4
A geometry-optimized La12Pm6Er structure. Source: Alexandria via LeMat-Bulk, functional PBE-GGA.

a = 13.5924 Å, b = 13.5924 Å, c = 13.0826 Å
α = 90.00°, β = 90.00°, γ = 120.00°
Last column: nearest neighbours and their distance in Å.
Space group R-3m (No. 166, hexagonal axes)
Asymmetric unit:
La1 0.0000 0.2615 0.0000  4 Pm 3.49-3.63, 6 La 3.55-3.73, 1 Er 3.55
La2 0.0559 0.5279 0.1110  1 La 3.19
Pm1 0.0886 0.1772 0.7705  4 La 3.49-3.63, 2 Pm 3.61, 1 Er 3.66
Er1 0.0000 0.0000 0.0000  6 La 3.55, 6 Pm 3.66

Values from the calculation:
Raw total energy in eV per atom: -4.74
Crystal system: trigonal
Theoretical density in g/cm³: 6.44
Total moment in μB per formula unit: 0.0

---

Record 5
A geometry-optimized BiBr3F structure. Source: Alexandria via LeMat-Bulk, functional PBE-GGA.

a = 4.9953 Å, b = 4.9953 Å, c = 4.9953 Å
α = 90.00°, β = 90.00°, γ = 90.00°
Last column: nearest neighbours and their distance in Å.
Space group Pm-3m (No. 221)
Asymmetric unit:
Bi1 0.0000 0.0000 0.0000  12 Br 3.53
Br1 0.0000 0.5000 0.5000  2 F 2.50
F1 0.5000 0.5000 0.5000  6 Br 2.50

Values from the calculation:
Raw total energy in eV per atom: -2.02
Crystal system: cubic
Raw formation energy in meV/atom: 139
Energy above the most stable polymorph in this dataset in meV/atom: 1085.0
Theoretical density in g/cm³: 6.23
Total moment in μB per formula unit: 0.0

---

Record 6
A geometry-optimized PuBi2Pb6 structure. Source: Alexandria via LeMat-Bulk, functional PBE-GGA.

a = 10.8629 Å, b = 10.8629 Å, c = 4.7388 Å
α = 90.00°, β = 90.00°, γ = 90.00°
Last column: nearest neighbours and their distance in Å.
Space group P4_2/mnm (No. 136)
Asymmetric unit:
Pu1 0.0000 0.0000 0.0000  4 Bi 3.31, 8 Pb 3.48-3.57
Bi1 0.1508 0.1508 0.5000  2 Pu 3.31, 8 Pb 3.44-3.68
Pb1 0.0032 0.6717 0.0000  8 Pb 3.44-3.73, 3 Bi 3.48-3.77, 1 Pu 3.57
Pb2 0.1655 0.8345 0.5000  4 Bi 3.44-3.68, 6 Pb 3.44-3.67, 2 Pu 3.48

Values from the calculation:
Raw total energy in eV per atom: -4.94
Crystal system: tetragonal
Theoretical density in g/cm³: 11.31
Total moment in μB per formula unit: 6.1